! Er6SbPb2Se3 | Alexandria | PBE | optimized geometry; values from VASP
&SYSTEM
  ibrav = 0, nat = 12, ntyp = 4
/
ATOMIC_SPECIES
Er 167.26 Er.upf
Sb 121.76 Sb.upf
Se 78.96 Se.upf
Pb 207.20 Pb.upf
CELL_PARAMETERS angstrom
-2.924 2.500 -1.764
2.154 -2.886 -7.659
-5.135 -7.117 3.501
ATOMIC_POSITIONS angstrom
Er -7.502 -5.345 -0.218
Er 1.597 -2.158 -5.704
Er -2.390 -6.551 -5.322
Er -3.515 -0.952 -0.600
Er -3.548 -5.131 -1.390
Er -2.357 -2.372 -4.532
Sb -1.462 1.250 -0.882
Se -5.520 -3.158 -0.403
Se -0.385 -0.193 -4.712
Se -0.385 -4.345 -5.519
Pb -1.488 -2.924 -1.677
Pb -4.417 -4.579 -4.246
! Total DFT energy (no corrections) (eV per cell): -63.5
! Space-group type: C2/m
! Raw formation energy (eV/atom): -1.175
! Density (g/cm³): 9.17

! MgTa2Ni | Alexandria | PBE | optimized geometry; values from VASP
&SYSTEM
  ibrav = 0, nat = 4, ntyp = 3
/
ATOMIC_SPECIES
Ta 180.95 Ta.upf
Mg 24.30 Mg.upf
Ni 58.69 Ni.upf
CELL_PARAMETERS angstrom
2.823 0.000 0.000
0.000 2.823 0.000
0.000 0.000 8.405
ATOMIC_POSITIONS angstrom
Ta 0.000 0.000 4.503
Ta 0.000 0.000 8.105
Mg 1.412 1.412 2.101
Ni 1.412 1.412 6.304
! Total DFT energy (no corrections) (eV per cell): -30.6
! Space-group type: P4/mmm
! Calculated formation energy (eV per atom): 0.112
! Density (g/cm³): 11.03

! Sm2GaCo5B2 | Alexandria | PBE | optimized geometry; values from VASP
&SYSTEM
  ibrav = 0, nat = 20, ntyp = 4
/
ATOMIC_SPECIES
Co 58.93 Co.upf
Sm 150.36 Sm.upf
B 10.81 B.upf
Ga 69.72 Ga.upf
CELL_PARAMETERS angstrom
3.074 0.000 0.000
0.000 9.155 0.000
0.000 0.000 9.155
ATOMIC_POSITIONS angstrom
Co 1.537 2.458 5.199
Co 1.537 7.036 8.533
Co 1.537 6.697 3.956
Co 1.537 8.533 2.119
Co 1.537 0.000 4.577
Co 1.537 5.199 6.697
Co 1.537 4.577 0.000
Co 1.537 0.621 7.036
Co 1.537 2.119 0.621
Co 1.537 3.956 2.458
Sm 0.000 6.217 1.640
Sm 0.000 7.515 6.217
Sm 0.000 1.640 2.938
Sm 0.000 2.938 7.515
B 0.000 1.068 5.646
B 0.000 8.086 3.509
B 0.000 3.509 1.068
B 0.000 5.646 8.086
Ga 0.000 4.577 4.577
Ga 0.000 0.000 0.000
! Total DFT energy (no corrections) (eV per cell): -128.4
! Space-group type: P4/mbm
! Calculated formation energy (eV per atom): -0.283
! Density (g/cm³): 8.85